A relaxed MnSn3P4O16 crystal. Source: the Alexandria database, functional PBE+U.

uncorrected energy: -6.94 eV/atom
calculated volume: 13.87 Å³/atom

Lattice parameters (Å, degrees): 5.1253 6.1935 10.4868 90.00 90.49 90.00
With the nearest neighbours (Å) after each atom.
Sites, in units of the cell vectors:
Mn1 0.0000 0.0000 0.0000  4 O 2.12-2.22
Sn1 0.3743 0.0000 0.4847  6 O 2.05-2.17
Sn2 0.5021 0.5000 0.0621  6 O 2.03-2.18
Sn3 0.8840 0.5000 0.5571  6 O 2.33-2.57
P1 0.0670 0.5000 0.8914  4 O 1.50-1.59
P2 0.3563 0.5000 0.3551  4 O 1.51-1.59
P3 0.5334 0.0000 0.1827  4 O 1.51-1.59
P4 0.7933 0.0000 0.6708  4 O 1.50-1.60
O1 0.0689 0.0000 0.6099  1 P 1.55
O2 0.1119 0.5000 0.7505  1 P 1.50
O3 0.2106 0.3058 0.9616  1 P 1.59
O4 0.2106 0.6942 0.9616  1 P 1.59
O5 0.2250 0.2996 0.4235  1 P 1.59
O6 0.2250 0.7004 0.4235  1 P 1.59
O7 0.2416 0.0000 0.1651  1 P 1.51
O8 0.2606 0.5000 0.2140  1 P 1.55
O9 0.6132 0.0000 0.3273  1 P 1.57
O10 0.6224 0.1908 0.6097  1 P 1.60
O11 0.6224 0.8092 0.6097  1 P 1.60
O12 0.6497 0.5000 0.3644  1 P 1.51
O13 0.6743 0.1974 0.1145  1 P 1.59
O14 0.6743 0.8026 0.1145  1 P 1.59
O15 0.7688 0.5000 0.9200  1 P 1.56
O16 0.8119 0.0000 0.8138  1 P 1.50